# HoTmHg2 GGA-PBE relaxed
data_HoTmHg2
_space_group_name_H-M_alt 'F m -3 m'
_space_group_IT_number 225
_space_group_name_Hall '-F 4 2 3'
_cell_length_a 7.382
_cell_length_b 7.382
_cell_length_c 7.382
_cell_angle_alpha 90.00
_cell_angle_beta 90.00
_cell_angle_gamma 90.00
loop_
_atom_site_label
_atom_site_fract_x
_atom_site_fract_y
_atom_site_fract_z
Ho1 0.000 0.000 0.000
Tm1 0.000 0.000 0.500
Hg1 0.250 0.250 0.250
# Total energy (Ry/atom): -0.213
# Total moment (μB per formula unit): 0.000
# Mass density (g/cm³): 12.1



# Ho2TmHg GGA-PBE relaxed
data_Ho2TmHg
_space_group_name_H-M_alt 'F m -3 m'
_space_group_IT_number 225
_space_group_name_Hall '-F 4 2 3'
_cell_length_a 7.583
_cell_length_b 7.583
_cell_length_c 7.583
_cell_angle_alpha 90.00
_cell_angle_beta 90.00
_cell_angle_gamma 90.00
loop_
_atom_site_label
_atom_site_fract_x
_atom_site_fract_y
_atom_site_fract_z
Ho1 0.250 0.250 0.250
Tm1 0.000 0.000 0.000
Hg1 0.000 0.000 0.500
# Offset from the most stable computed form (meV per atom): 172
# Total moment (μB per formula unit): 0.331
# Mass density (g/cm³): 10.7



# HoTm4Hg GGA-PBE relaxed
data_HoTm4Hg
_space_group_name_H-M_alt 'C 1 2/c 1'
_space_group_IT_number 15
_space_group_name_Hall '-C 2yc'
_cell_length_a 8.576
_cell_length_b 13.764
_cell_length_c 6.264
_cell_angle_alpha 90.00
_cell_angle_beta 108.82
_cell_angle_gamma 90.00
loop_
_atom_site_label
_atom_site_fract_x
_atom_site_fract_y
_atom_site_fract_z
Ho1 0.000 0.093 0.250
Tm1 0.099 0.311 0.543
Tm2 0.217 0.121 0.875
Hg1 0.000 0.500 0.250
# Offset from the most stable computed form (meV per atom): 102
# Total moment (μB per formula unit): 0.001
# Mass density (g/cm³): 9.9



# HoTm5Hg3 GGA-PBE relaxed
data_HoTm5Hg3
_space_group_name_H-M_alt 'P 63/m c m'
_space_group_IT_number 193
_space_group_name_Hall '-P 6c 2'
_cell_length_a 8.9646
_cell_length_b 8.9646
_cell_length_c 6.8294
_cell_angle_alpha 90.00
_cell_angle_beta 90.00
_cell_angle_gamma 120.00
loop_
_atom_site_label
_atom_site_fract_x
_atom_site_fract_y
_atom_site_fract_z
Ho1 0.0000 0.0000 0.0000
Tm1 0.0000 0.3340 0.2500
Tm2 0.3333 0.6667 0.0000
Hg1 0.0000 0.3332 0.7500
# Total energy (Ry/atom): -0.251
# Total moment (μB per formula unit): 0.000
# Mass density (g/cm³): 11.3



Q: Which of these has the highest mass density?
A: HoTmHg2



Q: Which of these has the highest mass density?
A: HoTmHg2



Repeat the second record exactly.
# Ho2TmHg GGA-PBE relaxed
data_Ho2TmHg
_space_group_name_H-M_alt 'F m -3 m'
_space_group_IT_number 225
_space_group_name_Hall '-F 4 2 3'
_cell_length_a 7.583
_cell_length_b 7.583
_cell_length_c 7.583
_cell_angle_alpha 90.00
_cell_angle_beta 90.00
_cell_angle_gamma 90.00
loop_
_atom_site_label
_atom_site_fract_x
_atom_site_fract_y
_atom_site_fract_z
Ho1 0.250 0.250 0.250
Tm1 0.000 0.000 0.000
Hg1 0.000 0.000 0.500
# Offset from the most stable computed form (meV per atom): 172
# Total moment (μB per formula unit): 0.331
# Mass density (g/cm³): 10.7